Below is crystalline Be2HgTe at its relaxed geometry, with properties calculated at the PBE level.

Summary:
**Total moment**: 0.0 μB per formula unit
**Calculated total energy**: -1.927 eV/atom
**Space group**: Fm-3m
**Polymorph energy (0 for the lowest one)**: 459 meV/atom
**Uncorrected formation energy**: 0.797 eV/atom

Geometry as extended XYZ:
```
4
Lattice="0.0000 3.3387 3.3387 3.3387 0.0000 3.3387 3.3387 3.3387 0.0000" Properties=species:S:1:pos:R:3 pbc="T T T"
Be 1.6694 1.6694 1.6694
Be 5.0081 5.0081 5.0081
Hg 0.0000 0.0000 0.0000
Te 3.3387 3.3387 3.3387
```

---

Below is crystalline SrLi2Sb at its relaxed geometry, with properties calculated at the PBE level.

Summary:
**Total moment**: 0.9 μB per formula unit
**Calculated total energy**: -2.853 eV/atom
**Space group**: P2/m
**Uncorrected formation energy**: -0.445 eV/atom

Geometry as extended XYZ:
```
4
Lattice="4.8491 0.0000 0.0000 0.0000 5.0267 0.0000 -0.3747 0.0000 4.8383" Properties=species:S:1:pos:R:3 pbc="T T T"
Sr 0.0000 0.0000 0.0000
Li 1.2952 2.5133 3.2749
Li 3.1791 2.5133 1.5634
Sb 2.2372 0.0000 2.4191
```

---

Below is crystalline BeHgNF2 at its relaxed geometry, with properties calculated at the PBE level.

Summary:
**Total moment**: 0.7 μB per formula unit
**Calculated total energy**: -2.595 eV/atom
**Space group**: P4/mmm
**Polymorph energy (0 for the lowest one)**: 1601 meV/atom
**Uncorrected formation energy**: 0.624 eV/atom

Geometry as extended XYZ:
```
5
Lattice="4.5701 0.0000 0.0000 0.0000 4.5701 0.0000 0.0000 0.0000 4.1874" Properties=species:S:1:pos:R:3 pbc="T T T"
Be 0.0000 0.0000 0.0000
Hg 2.2850 2.2850 2.0937
N 2.2850 2.2850 0.0000
F 0.0000 2.2850 2.0937
F 2.2850 0.0000 2.0937
```

---

Below is crystalline NaAgBiF6 at its relaxed geometry, with properties calculated at the PBE level.

Summary:
**Total moment**: 0.0 μB per formula unit
**Calculated total energy**: -4.194 eV/atom
**Space group**: P-31c
**Uncorrected formation energy**: -2.052 eV/atom

Geometry as extended XYZ:
```
18
Lattice="5.9348 0.0000 0.0000 -2.9674 5.1397 0.0000 0.0000 0.0000 9.6596" Properties=species:S:1:pos:R:3 pbc="T T T"
Na 0.0000 3.4265 2.4149
Na 2.9674 1.7132 7.2447
Ag 0.0000 0.0000 0.0000
Ag 0.0000 0.0000 4.8298
Bi 0.0000 3.4265 7.2447
Bi 2.9674 1.7132 2.4149
F -0.9109 1.7684 6.0737
F -1.8914 3.4666 8.4156
F 0.9109 1.7684 8.4156
F -0.9805 5.0444 6.0737
F 1.9870 0.0953 1.2440
F 1.0760 1.6731 3.5858
F 1.8914 3.4666 6.0737
F 0.9805 5.0444 8.4156
F 3.9479 0.0953 3.5858
F 2.0565 3.3713 1.2440
F 4.8588 1.6731 1.2440
F 3.8784 3.3713 3.5858
```

---

Below is crystalline NaHgAs3 at its relaxed geometry, with properties calculated at the PBE level.

Summary:
**Total moment**: 0.0 μB per formula unit
**Calculated total energy**: -2.442 eV/atom
**Space group**: Pm-3m
**Polymorph energy (0 for the lowest one)**: 0 meV/atom
**E_form**: 0.671 eV per atom

Geometry as extended XYZ:
```
5
Lattice="5.2955 0.0000 0.0000 0.0000 5.2955 0.0000 0.0000 0.0000 5.2955" Properties=species:S:1:pos:R:3 pbc="T T T"
Na 0.0000 0.0000 0.0000
Hg 2.6478 2.6478 2.6478
As 0.0000 2.6478 2.6478
As 2.6478 0.0000 2.6478
As 2.6478 2.6478 0.0000
```

---

Below is crystalline Ga2Sb2Pb at its relaxed geometry, with properties calculated at the PBE level.

Summary:
**Total moment**: 0.0 μB per formula unit
**Calculated total energy**: -3.531 eV/atom
**Space group**: P4/mbm
**Polymorph energy (0 for the lowest one)**: 21 meV/atom
**Uncorrected formation energy**: 0.070 eV/atom

Geometry as extended XYZ:
```
10
Lattice="8.6782 0.0000 0.0000 0.0000 8.6782 0.0000 0.0000 0.0000 3.4590" Properties=species:S:1:pos:R:3 pbc="T T T"
Ga 1.2528 3.0863 0.0000
Ga 3.0863 7.4255 0.0000
Ga 5.5919 1.2528 0.0000
Ga 7.4255 5.5919 0.0000
Sb 1.3123 5.6514 1.7295
Sb 3.0268 1.3123 1.7295
Sb 5.6514 7.3659 1.7295
Sb 7.3659 3.0268 1.7295
Pb 0.0000 0.0000 1.7295
Pb 4.3391 4.3391 1.7295
```

---

Below is crystalline NaTc2Pt2 at its relaxed geometry, with properties calculated at the PBE level.

Summary:
**Total moment**: 0.0 μB per formula unit
**Calculated total energy**: -6.794 eV/atom
**Space group**: P4/mbm
**Polymorph energy (0 for the lowest one)**: 0 meV/atom
**E_form**: 0.032 eV per atom

Geometry as extended XYZ:
```
10
Lattice="7.9418 0.0000 0.0000 0.0000 7.9418 0.0000 0.0000 0.0000 2.6914" Properties=species:S:1:pos:R:3 pbc="T T T"
Na 0.0000 0.0000 0.0000
Na 3.9709 3.9709 0.0000
Tc 0.8779 3.0930 0.0000
Tc 3.0930 7.0639 0.0000
Tc 4.8488 0.8779 0.0000
Tc 7.0639 4.8488 0.0000
Pt 1.4460 5.4169 1.3457
Pt 2.5249 1.4460 1.3457
Pt 5.4169 6.4959 1.3457
Pt 6.4959 2.5249 1.3457
```

---

Below is crystalline Ba4CdCu at its relaxed geometry, with properties calculated at the PBE level.

Summary:
**Total moment**: 0.0 μB per formula unit
**Calculated total energy**: -1.521 eV/atom
**Space group**: F-43m
**Polymorph energy (0 for the lowest one)**: 684 meV/atom
**E_form**: 0.596 eV per atom

Geometry as extended XYZ:
```
6
Lattice="0.0000 5.1859 5.1859 5.1859 0.0000 5.1859 5.1859 5.1859 0.0000" Properties=species:S:1:pos:R:3 pbc="T T T"
Ba 1.2980 1.2980 1.2980
Ba 3.8879 3.8879 1.2980
Ba 3.8879 1.2980 3.8879
Ba 1.2980 3.8879 3.8879
Cd 7.7789 7.7789 7.7789
Cu 5.1859 5.1859 5.1859
```

---

Below is crystalline Tm2Ni2BRh4 at its relaxed geometry, with properties calculated at the PBE level.

Summary:
**Total moment**: 1.0 μB per formula unit
**Calculated total energy**: -6.994 eV/atom
**Space group**: I4/mmm
**E_form**: -0.707 eV per atom

Geometry as extended XYZ:
```
9
Lattice="-2.8851 2.8851 3.9301 2.8851 -2.8851 3.9301 2.8851 2.8851 -3.9301" Properties=species:S:1:pos:R:3 pbc="T T T"
Tm 2.8851 0.0000 1.9651
Tm 0.0000 2.8851 1.9651
Ni 0.0000 0.0000 1.8973
Ni 0.0000 0.0000 5.9629
B 0.0000 0.0000 3.9301
Rh 1.3994 1.3994 0.0000
Rh 1.4857 -1.4857 3.9301
Rh -1.4857 1.4857 3.9301
Rh 1.4857 1.4857 3.9301
```

---

Below is crystalline Tb2Mn17C2 at its relaxed geometry, with properties calculated at the PBE level.

Summary:
**Total moment**: 6.6 μB per formula unit
**Calculated total energy**: -8.809 eV/atom
**Space group**: C2/m
**E_form**: -0.067 eV per atom

Geometry as extended XYZ:
```
21
Lattice="4.7724 -4.2988 0.0000 4.7724 4.2988 0.0000 -0.9286 0.0000 6.3708" Properties=species:S:1:pos:R:3 pbc="T T T"
Tb 1.0854 0.0000 2.2309
Tb 7.5309 0.0000 4.1398
Mn 2.3862 2.1494 0.0000
Mn 0.6125 0.0000 5.5739
Mn 3.5145 2.0402 2.1560
Mn 2.7323 1.1910 4.5905
Mn 4.7724 2.3657 0.0000
Mn 5.1018 2.0402 4.2148
Mn 3.7685 0.0000 0.6257
Mn 2.7323 -1.1910 4.5905
Mn 2.3862 -2.1494 0.0000
Mn 4.3081 0.0000 3.1854
Mn 5.8840 1.1910 1.7803
Mn 4.8478 0.0000 5.7451
Mn 3.5145 -2.0402 2.1560
Mn 4.7724 -2.3657 0.0000
Mn 5.8840 -1.1910 1.7803
Mn 5.1018 -2.0402 4.2148
Mn 8.0038 0.0000 0.7969
C 1.9219 2.1494 3.1854
C 1.9219 -2.1494 3.1854
```

---

Below is crystalline TiBeFeRh at its relaxed geometry, with properties calculated at the PBE level.

Summary:
**Total moment**: 0.0 μB per formula unit
**Calculated total energy**: -7.352 eV/atom
**Space group**: P4mm
**E_form**: -0.494 eV per atom

Geometry as extended XYZ:
```
4
Lattice="2.9108 0.0000 0.0000 0.0000 2.9108 0.0000 0.0000 0.0000 5.6324" Properties=species:S:1:pos:R:3 pbc="T T T"
Ti 0.0000 0.0000 0.0000
Be 0.0000 0.0000 2.6213
Fe 1.4554 1.4554 1.3880
Rh 1.4554 1.4554 3.9524
```

---

Below is crystalline AlNiPb4 at its relaxed geometry, with properties calculated at the PBE level.

Summary:
**Total moment**: 0.4 μB per formula unit
**Calculated total energy**: -3.331 eV/atom
**Space group**: F-43m
**E_form**: 0.729 eV per atom

Geometry as extended XYZ:
```
6
Lattice="0.0000 4.4870 4.4870 4.4870 0.0000 4.4870 4.4870 4.4870 0.0000" Properties=species:S:1:pos:R:3 pbc="T T T"
Al 0.0000 0.0000 0.0000
Ni 6.7306 6.7306 6.7306
Pb 3.3677 3.3677 3.3677
Pb 5.6064 5.6064 3.3677
Pb 5.6064 3.3677 5.6064
Pb 3.3677 5.6064 5.6064
```

---

Below is crystalline InPb4Se5 at its relaxed geometry, with properties calculated at the PBE level.

Summary:
**Total moment**: 0.0 μB per formula unit
**Calculated total energy**: -4.026 eV/atom
**Space group**: I4/mmm
**Polymorph energy (0 for the lowest one)**: 0 meV/atom
**Uncorrected formation energy**: -0.526 eV/atom

Geometry as extended XYZ:
```
10
Lattice="-2.1753 2.1753 15.4219 2.1753 -2.1753 15.4219 2.1753 2.1753 -15.4219" Properties=species:S:1:pos:R:3 pbc="T T T"
In 0.0000 0.0000 0.0000
Pb 0.0000 0.0000 6.1413
Pb 0.0000 0.0000 12.3553
Pb 0.0000 0.0000 18.4886
Pb 0.0000 0.0000 24.7025
Se 0.0000 0.0000 3.0017
Se 0.0000 0.0000 9.2360
Se 0.0000 0.0000 15.4219
Se 0.0000 0.0000 21.6078
Se 0.0000 0.0000 27.8422
```

---

Below is crystalline SrPu2NiN4 at its relaxed geometry, with properties calculated at the PBE level.

Summary:
**Total moment**: 6.0 μB per formula unit
**Calculated total energy**: -9.614 eV/atom
**Space group**: Cmcm
**Uncorrected formation energy**: -0.936 eV/atom

Geometry as extended XYZ:
```
16
Lattice="1.7416 -5.7386 0.0000 1.7416 5.7386 0.0000 0.0000 0.0000 11.4468" Properties=species:S:1:pos:R:3 pbc="T T T"
Sr 1.7416 4.6284 8.5851
Sr 1.7416 -4.6284 2.8617
Pu 1.7416 1.5074 6.3767
Pu 1.7416 1.5074 10.7935
Pu 1.7416 -1.5074 0.6533
Pu 1.7416 -1.5074 5.0701
Ni 1.7416 3.7427 2.8617
Ni 1.7416 -3.7427 8.5851
N 0.0000 0.0000 0.0000
N 0.0000 0.0000 5.7234
N 1.7416 2.8134 1.1624
N 1.7416 2.8134 4.5610
N 1.7416 0.9176 8.5851
N 1.7416 -0.9176 2.8617
N 1.7416 -2.8134 6.8858
N 1.7416 -2.8134 10.2844
```

---

Below is crystalline B3PC at its relaxed geometry, with properties calculated at the PBE level.

Summary:
**Total moment**: 0.0 μB per formula unit
**Calculated total energy**: -6.685 eV/atom
**Space group**: Cm
**Polymorph energy (0 for the lowest one)**: 0 meV/atom
**E_form**: 0.248 eV per atom

Geometry as extended XYZ:
```
5
Lattice="2.9807 -1.4245 0.0000 2.9807 1.4245 0.0000 -1.3896 0.0000 5.5029" Properties=species:S:1:pos:R:3 pbc="T T T"
B 0.0000 0.0000 0.0000
B 2.2771 0.0000 3.3356
B 4.4272 0.0000 0.6568
P 4.1388 0.0000 2.5412
C 2.0623 0.0000 4.9222
```

---

Below is crystalline Te2Pb4I5 at its relaxed geometry, with properties calculated at the PBE level.

Summary:
**Total moment**: 0.0 μB per formula unit
**Calculated total energy**: -3.095 eV/atom
**Space group**: P-1
**Uncorrected formation energy**: -0.470 eV/atom

Geometry as extended XYZ:
```
11
Lattice="4.5649 0.0000 0.0000 2.2740 10.3105 0.0000 0.0108 1.7051 11.6485" Properties=species:S:1:pos:R:3 pbc="T T T"
Te 1.1456 4.8564 1.5342
Te 5.7040 7.1593 10.1144
Pb 1.1431 1.6882 1.2819
Pb 3.4207 7.3464 8.0685
Pb 3.4289 4.6693 3.5800
Pb 5.7064 10.3274 10.3666
I 1.1424 6.0078 5.8243
I 3.4235 10.4997 7.9317
I 3.4141 8.5440 0.9916
I 3.4355 3.4717 10.6570
I 3.4261 1.5159 3.7168
```

---

Below is crystalline MgAlF4 at its relaxed geometry, with properties calculated at the PBE level.

Summary:
**Total moment**: 0.0 μB per formula unit
**Calculated total energy**: -4.982 eV/atom
**Space group**: C2/m
**Uncorrected formation energy**: -2.845 eV/atom

Geometry as extended XYZ:
```
6
Lattice="5.3808 -1.6135 0.0000 5.3808 1.6135 0.0000 -2.8018 0.0000 4.7406" Properties=species:S:1:pos:R:3 pbc="T T T"
Mg 0.0000 0.0000 0.0000
Al 3.9799 0.0000 2.3703
F -0.1525 0.0000 2.0929
F 4.1217 0.0000 0.3681
F 3.8381 0.0000 4.3725
F 8.1123 0.0000 2.6478
```

---

Below is crystalline Ba8TlP2 at its relaxed geometry, with properties calculated at the PBE level.

Summary:
**Total moment**: 0.0 μB per formula unit
**Calculated total energy**: -2.917 eV/atom
**Space group**: P-3
**E_form**: -0.320 eV per atom

Geometry as extended XYZ:
```
11
Lattice="10.6915 0.0000 0.0000 -5.3458 9.2591 0.0000 0.0000 0.0000 6.5348" Properties=species:S:1:pos:R:3 pbc="T T T"
Ba -0.0097 3.1376 1.6108
Ba -2.6237 7.6987 1.6108
Ba 0.0000 6.1728 5.0061
Ba 2.7124 1.5772 4.9240
Ba 2.6334 7.6819 1.6108
Ba 5.3458 3.0864 1.5287
Ba 7.9694 1.5604 4.9240
Ba 5.3555 6.1215 4.9240
Tl 0.0000 0.0000 3.2674
P 0.0000 6.1728 1.8008
P 5.3458 3.0864 4.7340
```

---

Below is crystalline PrScCuNi at its relaxed geometry, with properties calculated at the PBE level.

Summary:
**Total moment**: 0.0 μB per formula unit
**Calculated total energy**: -5.459 eV/atom
**Space group**: F-43m
**E_form**: -0.212 eV per atom

Geometry as extended XYZ:
```
4
Lattice="0.0000 3.4068 3.4068 3.4068 0.0000 3.4068 3.4068 3.4068 0.0000" Properties=species:S:1:pos:R:3 pbc="T T T"
Pr 0.0000 0.0000 0.0000
Sc 3.4068 3.4068 3.4068
Cu 1.7034 1.7034 1.7034
Ni 5.1102 5.1102 5.1102
```

---

Below is crystalline MgCd2Pb8 at its relaxed geometry, with properties calculated at the PBE level.

Summary:
**Total moment**: 0.0 μB per formula unit
**Calculated total energy**: -2.988 eV/atom
**Space group**: C2/m
**Polymorph energy (0 for the lowest one)**: 0 meV/atom
**E_form**: 0.020 eV per atom

Geometry as extended XYZ:
```
11
Lattice="8.6888 -2.4645 0.0000 8.6888 2.4645 0.0000 -2.4853 0.0000 7.5602" Properties=species:S:1:pos:R:3 pbc="T T T"
Mg 0.0000 0.0000 0.0000
Cd 3.8545 0.0000 2.7823
Cd 11.0378 0.0000 4.7779
Pb 0.5828 0.0000 3.4721
Pb 0.8391 0.0000 6.9150
Pb 4.2401 0.0000 6.1368
Pb 7.2833 0.0000 2.0182
Pb 7.6090 0.0000 5.5420
Pb 10.6522 0.0000 1.4233
Pb 14.0533 0.0000 0.6451
Pb 14.3095 0.0000 4.0881
```

---

Below is crystalline HgAsSe2 at its relaxed geometry, with properties calculated at the PBE level.

Summary:
**Total moment**: 0.0 μB per formula unit
**Calculated total energy**: -2.970 eV/atom
**Space group**: R-3m
**Polymorph energy (0 for the lowest one)**: 77 meV/atom
**Uncorrected formation energy**: 0.011 eV/atom

Geometry as extended XYZ:
```
4
Lattice="1.8163 1.0486 10.3649 -1.8163 1.0486 10.3649 0.0000 -2.0973 10.3649" Properties=species:S:1:pos:R:3 pbc="T T T"
Hg 0.0000 0.0000 0.0000
As 0.0000 0.0000 15.5474
Se 0.0000 0.0000 3.5925
Se 0.0000 0.0000 27.5024
```

---

Below is crystalline MnIn2I6Br2 at its relaxed geometry, with properties calculated at the PBE level.

Summary:
**Total moment**: 5.0 μB per formula unit
**Calculated total energy**: -2.990 eV/atom
**Space group**: P-3
**Uncorrected formation energy**: -0.509 eV/atom

Geometry as extended XYZ:
```
11
Lattice="7.4993 0.0000 0.0000 -3.7497 6.4946 0.0000 0.0000 0.0000 10.3164" Properties=species:S:1:pos:R:3 pbc="T T T"
Mn 0.0000 0.0000 0.0000
In 0.0000 4.3297 7.7021
In 3.7497 2.1649 2.6143
I -1.0937 2.0943 1.7032
I -1.3891 6.3946 1.7032
I 1.2669 1.9943 8.6132
I 2.4828 4.5003 1.7032
I 5.1388 0.1000 8.6132
I 4.8434 4.4003 8.6132
Br 0.0000 4.3297 5.2080
Br 3.7497 2.1649 5.1085
```

---

Below is crystalline La2GaO2 at its relaxed geometry, with properties calculated at the PBE level.

Summary:
**Total moment**: 1.0 μB per formula unit
**Calculated total energy**: -6.954 eV/atom
**Space group**: I4/mmm
**Uncorrected formation energy**: -2.394 eV/atom

Geometry as extended XYZ:
```
5
Lattice="-2.0404 2.0404 6.8416 2.0404 -2.0404 6.8416 2.0404 2.0404 -6.8416" Properties=species:S:1:pos:R:3 pbc="T T T"
La 0.0000 0.0000 2.2058
La 0.0000 0.0000 11.4773
Ga 0.0000 0.0000 6.8416
O 2.0404 0.0000 3.4208
O 0.0000 2.0404 3.4208
```